(1)
Material: Na2Ga6Ag
Method: DFT, PBE
State: relaxed

Cell: 10.3968 5.9038 6.0302 Å, 90.00 90.14 90.00°
Space group C2/m (No. 12)
Inequivalent atoms, fractional coordinates:
Na  0.1647  0.0000  0.1316 x4
Ga  0.0898  0.2364  0.6573 x8
Ga  0.1788  0.5000  0.3355 x4
Ag  0.0000  0.5000  0.0000 x2

total DFT energy (no corrections) = -2.724 eV/atom

***

(2)
Material: NaNbGa2Ag
Method: DFT, PBE
State: relaxed

Cell: 4.8039 4.8039 4.9757 Å, 90.00 90.00 90.00°
Space group P4/mmm (No. 123)
Inequivalent atoms, fractional coordinates:
Na  0.0000  0.0000  0.0000 x1
Nb  0.0000  0.0000  0.5000 x1
Ga  0.0000  0.5000  0.0000 x2
Ag  0.5000  0.5000  0.5000 x1

total DFT energy (no corrections) = -2.654 eV/atom

***

(3)
Material: Na2Ga5AgPd2
Method: DFT, PBE
State: relaxed

Cell: 9.8075 9.8075 3.8757 Å, 90.00 90.00 90.00°
Space group P4/mbm (No. 127)
Inequivalent atoms, fractional coordinates:
Na  0.1789  0.3211  0.0000 x4
Ga  0.0000  0.5000  0.5000 x2
Ga  0.0614  0.7998  0.5000 x8
Ag  0.0000  0.0000  0.0000 x2
Pd  0.1178  0.6178  0.0000 x4

total DFT energy (no corrections) = -3.334 eV/atom

***

(4)
Material: Na2GaAgPd
Method: DFT, PBE
State: relaxed

Cell: 5.4349 5.4349 4.6488 Å, 90.00 90.00 90.00°
Space group P4/mmm (No. 123)
Inequivalent atoms, fractional coordinates:
Na  0.0000  0.5000  0.0000 x2
Ga  0.0000  0.0000  0.0000 x1
Ag  0.5000  0.5000  0.5000 x1
Pd  0.0000  0.0000  0.5000 x1

total DFT energy (no corrections) = -2.470 eV/atom

***

(5)
Material: NaGaAgPd2
Method: DFT, PBE
State: relaxed

Cell: 4.7157 4.7157 4.7520 Å, 90.00 90.00 90.00°
Space group P4/mmm (No. 123)
Inequivalent atoms, fractional coordinates:
Na  0.0000  0.0000  0.0000 x1
Ga  0.5000  0.5000  0.5000 x1
Ag  0.0000  0.0000  0.5000 x1
Pd  0.0000  0.5000  0.0000 x2

total DFT energy (no corrections) = -2.729 eV/atom

***

(6)
Material: NaGaAgPd
Method: DFT, PBE
State: relaxed

Cell: 6.4813 6.4813 6.4813 Å, 90.00 90.00 90.00°
Space group F-43m (No. 216)
Inequivalent atoms, fractional coordinates:
Na  0.0000  0.0000  0.0000 x4
Ga  0.0000  0.0000  0.5000 x4
Ag  0.2500  0.2500  0.7500 x4
Pd  0.2500  0.2500  0.2500 x4

total DFT energy (no corrections) = -3.263 eV/atom

***

(7)
Material: NaPrGaAg
Method: DFT, PBE
State: relaxed

Cell: 7.2932 7.2932 7.2932 Å, 90.00 90.00 90.00°
Space group F-43m (No. 216)
Inequivalent atoms, fractional coordinates:
Na  0.0000  0.0000  0.0000 x4
Pr  0.0000  0.0000  0.5000 x4
Ga  0.2500  0.2500  0.7500 x4
Ag  0.2500  0.2500  0.2500 x4

total DFT energy (no corrections) = -3.202 eV/atom

***

(8)
Material: Na2Ga3AgPt4
Method: DFT, PBE
State: relaxed

Cell: 4.1338 4.1338 11.1495 Å, 90.00 90.00 90.00°
Space group P-4m2 (No. 115)
Inequivalent atoms, fractional coordinates:
Na  0.0000  0.5000  0.2486 x2
Ga  0.0000  0.0000  0.0000 x1
Ga  0.0000  0.5000  0.6322 x2
Ag  0.5000  0.5000  0.0000 x1
Pt  0.0000  0.0000  0.5000 x1
Pt  0.0000  0.5000  0.8497 x2
Pt  0.5000  0.5000  0.5000 x1

total DFT energy (no corrections) = -4.324 eV/atom

***

Number 1: theoretical density 5.134 g/cm3, formation enthalpy at 0 K -83 kJ/mol of formula units, N(E_F) 0.42 states/eV/atom. Number 2: theoretical density 5.253 g/cm3, formation enthalpy at 0 K 677 kJ/mol of formula units, N(E_F) 0.85 states/eV/atom. Number 3: theoretical density 6.372 g/cm3, formation enthalpy at 0 K -225 kJ/mol of formula units, N(E_F) 0.27 states/eV/atom. Number 4: theoretical density 3.990 g/cm3, formation enthalpy at 0 K 131 kJ/mol of formula units, N(E_F) 0.37 states/eV/atom. Number 5: theoretical density 6.497 g/cm3, formation enthalpy at 0 K 380 kJ/mol of formula units, N(E_F) 0.58 states/eV/atom. Number 6: theoretical density 7.490 g/cm3, formation enthalpy at 0 K -64 kJ/mol of formula units, N(E_F) 0.42 states/eV/atom. Number 7: theoretical density 5.847 g/cm3, formation enthalpy at 0 K -80 kJ/mol of formula units, N(E_F) 0.77 states/eV/atom. Number 8: theoretical density 9.965 g/cm3, formation enthalpy at 0 K -434 kJ/mol of formula units, N(E_F) 0.26 states/eV/atom.